No. 1
Entry from the Alexandria database: Tc3RhCl after structural relaxation (PBE).

Properties
The calculation puts the formation energy from raw total energies at 1959 meV/atom. Its space group is Pm-3m.

Cell: 4.7731 4.7731 4.7731 Å, 90.00 90.00 90.00°
Element x y z (fractional)
Tc 0.0000 0.0000 0.5000
Tc 0.0000 0.5000 0.0000
Tc 0.5000 0.0000 0.0000
Rh 0.0000 0.0000 0.0000
Cl 0.5000 0.5000 0.5000



No. 2
Entry from the Alexandria database: Tl2CoCu after structural relaxation (PBE).

Properties
The calculation puts the formation energy at 0.422 eV per atom. Its space group is Cm.

Cell: 6.3610 6.3610 4.3632 Å, 109.95 109.95 27.77°
Element x y z (fractional)
Tl 0.0000 0.0000 0.0000
Tl 0.2203 0.2203 0.7199
Co 0.5103 0.5103 0.5103
Cu 0.8339 0.8339 0.3333



No. 3
Entry from the Alexandria database: K2Rb5Na4 after structural relaxation (PBE).

Properties
The calculation puts the formation energy at 0.029 eV per atom. Its space group is C2/m.

Cell: 8.3549 8.3549 13.3954 Å, 94.14 94.14 50.70°
Element x y z (fractional)
K 0.0611 0.0611 0.1606
K 0.9389 0.9389 0.8394
Rb 0.0000 0.0000 0.5000
Rb 0.3012 0.3012 0.4003
Rb 0.3543 0.3543 0.0528
Rb 0.6457 0.6457 0.9472
Rb 0.6988 0.6988 0.5997
Na 0.2033 0.2033 0.7686
Na 0.4277 0.4277 0.6944
Na 0.5723 0.5723 0.3056
Na 0.7967 0.7967 0.2314



No. 4
Entry from the Alexandria database: Cs2SmOs3O12 after structural relaxation (PBE).

Properties
The calculation puts the formation energy from raw total energies at -1498 meV/atom. Its space group is R-3m.

Cell: 7.6842 7.6842 7.6842 Å, 57.28 57.28 57.28°
Element x y z (fractional)
Cs 0.1154 0.1154 0.1154
Cs 0.8846 0.8846 0.8846
Sm 0.5000 0.5000 0.5000
Os 0.0000 0.5000 0.5000
Os 0.5000 0.0000 0.5000
Os 0.5000 0.5000 0.0000
O 0.1341 0.5782 0.5782
O 0.1986 0.1986 0.5767
O 0.1986 0.5767 0.1986
O 0.4218 0.4218 0.8659
O 0.4218 0.8659 0.4218
O 0.4233 0.8014 0.8014
O 0.5767 0.1986 0.1986
O 0.5782 0.1341 0.5782
O 0.5782 0.5782 0.1341
O 0.8014 0.4233 0.8014
O 0.8014 0.8014 0.4233
O 0.8659 0.4218 0.4218



No. 5
Entry from the Alexandria database: Ho5Hg2Te2 after structural relaxation (PBE).

Properties
The calculation puts the formation energy from raw total energies at -802 meV/atom. Its space group is Cmce.

Cell: 8.7050 8.7050 8.0105 Å, 90.00 90.00 55.16°
Element x y z (fractional)
Ho 0.0000 0.0000 0.0000
Ho 0.0353 0.7037 0.6624
Ho 0.2037 0.5353 0.1624
Ho 0.2963 0.9647 0.6624
Ho 0.4647 0.7963 0.1624
Ho 0.5000 0.5000 0.5000
Ho 0.5353 0.2037 0.8376
Ho 0.7037 0.0353 0.3376
Ho 0.7963 0.4647 0.8376
Ho 0.9647 0.2963 0.3376
Hg 0.1350 0.8650 0.3683
Hg 0.3650 0.6350 0.8683
Hg 0.6350 0.3650 0.1317
Hg 0.8650 0.1350 0.6317
Te 0.2039 0.2039 0.0000
Te 0.2961 0.2961 0.5000
Te 0.7039 0.7039 0.5000
Te 0.7961 0.7961 0.0000



No. 6
Entry from the Alexandria database: KTa2Os after structural relaxation (PBE).

Properties
The calculation puts the formation energy at 0.954 eV per atom. Its space group is Immm.

Cell: 6.2496 6.2496 6.2496 Å, 153.07 127.20 60.26°
Element x y z (fractional)
K 0.0000 0.0000 0.0000
Ta 0.3011 0.8011 0.5000
Ta 0.6989 0.1989 0.5000
Os 0.5000 0.5000 0.0000



No. 7
Entry from the Alexandria database: ScMoC after structural relaxation (PBE).

Properties
The calculation puts the formation energy at -0.297 eV per atom. Its space group is C2/m.

Cell: 5.5588 5.5588 5.4273 Å, 109.12 109.12 33.77°
Element x y z (fractional)
Sc 0.1186 0.1186 0.3271
Sc 0.8814 0.8814 0.6729
Mo 0.3584 0.3584 0.1548
Mo 0.6416 0.6416 0.8452
C 0.2431 0.2431 0.7562
C 0.7569 0.7569 0.2438



No. 8
Entry from the Alexandria database: BeAsP after structural relaxation (PBE).

Properties
The calculation puts the formation energy at 0.295 eV per atom. Its space group is I4mm.

Cell: 5.8292 5.8292 5.8292 Å, 149.03 149.03 44.37°
Element x y z (fractional)
Be 0.0000 0.0000 0.0000
As 0.6480 0.6480 0.0000
P 0.4347 0.4347 0.0000



No. 9
Entry from the Alexandria database: PaBeNb2 after structural relaxation (PBE).

Properties
The calculation puts the formation energy at 0.515 eV per atom. Its space group is R-3m.

Cell: 9.7183 9.7183 9.7183 Å, 17.65 17.65 17.65°
Element x y z (fractional)
Pa 0.0000 0.0000 0.0000
Be 0.5000 0.5000 0.5000
Nb 0.0991 0.0991 0.0991
Nb 0.9009 0.9009 0.9009



No. 10
Entry from the Alexandria database: Ta4ZnCl after structural relaxation (PBE).

Properties
The calculation puts the formation energy from raw total energies at 821 meV/atom. Its space group is F-43m.

Cell: 5.5333 5.5333 5.5333 Å, 60.00 60.00 60.00°
Element x y z (fractional)
Ta 0.1230 0.1230 0.1230
Ta 0.1230 0.1230 0.6311
Ta 0.1230 0.6311 0.1230
Ta 0.6311 0.1230 0.1230
Zn 0.7500 0.7500 0.7500
Cl 0.5000 0.5000 0.5000



No. 11
Entry from the Alexandria database: DyHfAsP after structural relaxation (PBE).

Properties
The calculation puts the formation energy at -1.287 eV per atom. Its space group is R3m.

Cell: 7.0482 7.0482 7.0482 Å, 31.54 31.54 31.54°
Element x y z (fractional)
Dy 0.0000 0.0000 0.0000
Hf 0.1799 0.1799 0.1799
As 0.7633 0.7633 0.7633
P 0.5822 0.5822 0.5822



No. 12
Entry from the Alexandria database: Li2PaAu after structural relaxation (PBE).

Properties
The calculation puts the formation energy at -0.005 eV per atom. Its space group is R-3m.

Cell: 10.5186 10.5186 10.5186 Å, 16.28 16.28 16.28°
Element x y z (fractional)
Li 0.0986 0.0986 0.0986
Li 0.9014 0.9014 0.9014
Pa 0.0000 0.0000 0.0000
Au 0.5000 0.5000 0.5000